Entry from Alexandria via LeMat-Bulk: an optimized crystal structure of LiCaIn5 (PBE).

The structure belongs to space group P4/mmm (No. 123); the cell edges are 4.6699, 4.6699 and 8.1325 Å and the angles 90.00°, 90.00° and 90.00°. The asymmetric unit holds Li at (0.0000, 0.0000, 0.0000), Ca at (0.5000, 0.5000, 0.5000), In at (0.0000, 0.0000, 0.5000) and In at (0.0000, 0.5000, 0.1962).

Its total energy is -2.703 eV per atom. The calculation puts the offset from the most stable computed form at 45 meV per atom. Its crystal system is tetragonal. As for the formation energy: -0.188 eV/atom.